Record 1
The following is a DFT calculation (GGA-PBE) of a geometry-optimized TlInGa2 structure.

Unit cell a=4.337 b=7.149 c=6.845 alpha=88.68 beta=90.00 gamma=107.66
Positions (direct):
1 Tl 0.464 0.928 0.234
2 Tl 0.328 0.655 0.819
3 Ga 0.727 0.453 0.083
4 Ga 0.800 0.599 0.459
5 Ga 0.096 0.192 0.986
6 Ga 0.637 0.273 0.719
7 In 0.169 0.337 0.381
8 In 0.985 0.970 0.635

E_tot = -2.726 eV per atom
energy relative to the elements = 0.064 eV/atom
V = 25.3 Å³ per atom
space-group type = Cm
offset from the most stable computed form = 40.2 meV/atom

=====

Record 2
The following is a DFT calculation (GGA-PBE) of a geometry-optimized Cs2UAuSe4 structure.

Unit cell a=7.392 b=7.392 c=7.392 alpha=103.04 beta=112.78 gamma=112.78
Positions (direct):
1 Au 0.000 0.500 0.500
2 Se 0.591 0.351 0.460
3 Se 0.409 0.869 0.760
4 Se 0.891 0.540 0.131
5 Se 0.109 0.240 0.649
6 Cs 0.000 0.000 0.000
7 Cs 0.500 0.750 0.250
8 U 0.500 0.250 0.750

E_tot = -4.553 eV per atom
formation energy from raw total energies = -0.776 eV/atom
V = 38.5 Å³ per atom
space-group type = I-4

=====

Record 3
The following is a DFT calculation (GGA-PBE) of a geometry-optimized Tl3GaAu4 structure.

Unit cell a=7.828 b=9.104 c=11.812 alpha=90.00 beta=90.00 gamma=90.00
Positions (direct):
1 Au 0.487 0.020 0.122
2 Au 0.513 0.980 0.878
3 Au 0.013 0.480 0.622
4 Au 0.487 0.480 0.122
5 Au 0.525 0.250 0.530
6 Au 0.398 0.750 0.226
7 Au 0.102 0.750 0.726
8 Au 0.013 0.020 0.622
9 Au 0.975 0.250 0.030
10 Au 0.987 0.980 0.378
11 Au 0.513 0.520 0.878
12 Au 0.025 0.750 0.970
13 Au 0.602 0.250 0.774
14 Au 0.987 0.520 0.378
15 Au 0.898 0.250 0.274
16 Au 0.475 0.750 0.470
17 Tl 0.610 0.029 0.355
18 Tl 0.890 0.029 0.855
19 Tl 0.390 0.971 0.645
20 Tl 0.321 0.250 0.954
21 Tl 0.110 0.971 0.145
22 Tl 0.390 0.529 0.645
23 Tl 0.610 0.471 0.355
24 Tl 0.679 0.750 0.046
25 Tl 0.179 0.250 0.454
26 Tl 0.821 0.750 0.546
27 Tl 0.890 0.471 0.855
28 Tl 0.110 0.529 0.145
29 Ga 0.170 0.750 0.391
30 Ga 0.330 0.750 0.891
31 Ga 0.670 0.250 0.109
32 Ga 0.830 0.250 0.609

E_tot = -2.931 eV per atom
energy relative to the elements = -0.027 eV/atom
V = 26.3 Å³ per atom
space-group type = Pnma

=====

Record 4
The following is a DFT calculation (GGA-PBE) of a geometry-optimized Ca3Sm3ZnS8 structure.

Unit cell a=7.954 b=7.953 c=8.021 alpha=119.72 beta=90.00 gamma=120.00
Positions (direct):
1 Sm 0.000 0.500 0.500
2 Sm 0.500 0.000 0.500
3 Sm 0.500 0.500 0.500
4 S 0.750 0.500 0.750
5 S 0.238 0.003 0.268
6 S 0.765 0.530 0.268
7 S 0.235 0.470 0.732
8 S 0.235 0.997 0.732
9 S 0.762 0.997 0.732
10 S 0.765 0.003 0.268
11 S 0.250 0.500 0.250
12 Ca 0.000 0.500 0.000
13 Ca 0.500 0.500 0.000
14 Ca 0.000 0.000 0.000
15 Zn 0.000 0.000 0.500

E_tot = -5.471 eV per atom
formation energy from raw total energies = -1.841 eV/atom
V = 24.0 Å³ per atom
space-group type = R-3m

=====

Record 5
The following is a DFT calculation (GGA-PBE) of a geometry-optimized Nd3Sm2In2 structure.

Unit cell a=4.868 b=3.564 c=12.636 alpha=90.00 beta=78.89 gamma=90.00
Positions (direct):
1 In 0.570 0.500 0.859
2 In 0.430 0.500 0.141
3 Sm 0.289 0.500 0.422
4 Sm 0.711 0.500 0.578
5 Nd 0.862 0.000 0.276
6 Nd 0.138 0.000 0.724
7 Nd 0.000 0.000 0.000

E_tot = -4.347 eV per atom
energy relative to the elements = -0.173 eV/atom
V = 30.7 Å³ per atom
space-group type = Cmmm
offset from the most stable computed form = 0.0 meV/atom

=====

Record 6
The following is a DFT calculation (GGA-PBE) of a geometry-optimized LaBeIN2 structure.

Unit cell a=4.267 b=4.267 c=6.919 alpha=90.00 beta=90.00 gamma=90.00
Positions (direct):
1 N 0.000 0.500 0.000
2 N 0.500 0.000 0.000
3 La 0.000 0.000 0.000
4 I 0.000 0.000 0.500
5 Be 0.500 0.500 0.500

E_tot = -4.394 eV per atom
formation energy from raw total energies = 0.977 eV/atom
V = 25.2 Å³ per atom
space-group type = P4/mmm
offset from the most stable computed form = 401.3 meV/atom

=====

Record 7
The following is a DFT calculation (GGA-PBE) of a geometry-optimized KSr2Ag structure.

Unit cell a=6.141 b=6.141 c=6.141 alpha=60.00 beta=60.00 gamma=60.00
Positions (direct):
1 Ag 0.500 0.500 0.500
2 K 0.000 0.000 0.000
3 Sr 0.750 0.750 0.750
4 Sr 0.250 0.250 0.250

E_tot = -1.722 eV per atom
energy relative to the elements = 0.106 eV/atom
V = 40.9 Å³ per atom
space-group type = Fm-3m
offset from the most stable computed form = 199.7 meV/atom

=====

Record 8
The following is a DFT calculation (GGA-PBE) of a geometry-optimized Y2TiZn12Cu3 structure.

Unit cell a=8.281 b=8.281 c=8.281 alpha=53.64 beta=53.64 gamma=53.64
Positions (direct):
1 Cu 0.500 0.000 0.000
2 Cu 0.000 0.500 0.000
3 Cu 0.000 0.000 0.500
4 Zn 0.169 0.169 0.537
5 Zn 0.779 0.779 0.138
6 Zn 0.831 0.463 0.831
7 Zn 0.779 0.138 0.779
8 Zn 0.463 0.831 0.831
9 Zn 0.862 0.221 0.221
10 Zn 0.831 0.831 0.463
11 Zn 0.138 0.779 0.779
12 Zn 0.169 0.537 0.169
13 Zn 0.537 0.169 0.169
14 Zn 0.221 0.862 0.221
15 Zn 0.221 0.221 0.862
16 Ti 0.000 0.000 0.000
17 Y 0.414 0.414 0.414
18 Y 0.586 0.586 0.586

E_tot = -2.516 eV per atom
energy relative to the elements = 0.173 eV/atom
V = 19.0 Å³ per atom
space-group type = R-3m

=====

Record 9
The following is a DFT calculation (GGA-PBE) of a geometry-optimized La2InTe structure.

Unit cell a=6.572 b=6.572 c=6.572 alpha=138.63 beta=138.12 gamma=60.33
Positions (direct):
1 La 0.749 0.249 0.500
2 La 0.000 0.000 0.000
3 Te 0.500 0.500 0.000
4 In 0.251 0.751 0.500

E_tot = -4.717 eV per atom
formation energy from raw total energies = -0.783 eV/atom
V = 31.0 Å³ per atom
space-group type = Imm2
offset from the most stable computed form = 263.9 meV/atom

=====

Record 10
The following is a DFT calculation (GGA-PBE) of a geometry-optimized LiY2Mo structure.

Unit cell a=4.938 b=4.938 c=6.528 alpha=83.26 beta=83.26 gamma=36.91
Positions (direct):
1 Mo 0.250 0.250 0.250
2 Y 0.507 0.507 0.480
3 Y 0.993 0.993 0.020
4 Li 0.750 0.750 0.750

E_tot = -5.954 eV per atom
energy relative to the elements = 0.465 eV/atom
V = 23.7 Å³ per atom
space-group type = C2/m
offset from the most stable computed form = 234.7 meV/atom

=====

Record 11
The following is a DFT calculation (GGA-PBE) of a geometry-optimized Mg2ZrTa structure.

Unit cell a=4.930 b=4.930 c=4.930 alpha=60.00 beta=60.00 gamma=60.00
Positions (direct):
1 Mg 0.250 0.250 0.250
2 Mg 0.000 0.000 0.000
3 Ta 0.500 0.500 0.500
4 Zr 0.750 0.750 0.750

E_tot = -5.480 eV per atom
energy relative to the elements = 0.417 eV/atom
V = 21.2 Å³ per atom
space-group type = F-43m
offset from the most stable computed form = 322.0 meV/atom

=====

Record 12
The following is a DFT calculation (GGA-PBE) of a geometry-optimized TaTiP structure.

Unit cell a=4.678 b=4.659 c=4.867 alpha=90.00 beta=118.74 gamma=90.00
Positions (direct):
1 P 0.256 0.250 0.513
2 P 0.744 0.750 0.487
3 Ti 0.410 0.750 0.820
4 Ti 0.590 0.250 0.180
5 Ta 0.906 0.250 0.812
6 Ta 0.094 0.750 0.188

E_tot = -8.904 eV per atom
energy relative to the elements = -0.518 eV/atom
V = 15.5 Å³ per atom
space-group type = Cmcm